Material: RbLaZnTe3
Method: DFT, PBE-GGA
State: relaxed

Unit cell a=10.639 b=10.639 c=9.439 alpha=101.81 beta=101.81 gamma=25.80
Positions (direct):
Rb  0.135  0.135  0.067
Rb  0.865  0.865  0.933
La  0.166  0.166  0.566
La  0.834  0.834  0.434
Zn  0.464  0.464  0.262
Zn  0.536  0.536  0.738
Te  0.000  0.000  0.500
Te  0.323  0.323  0.649
Te  0.335  0.335  0.202
Te  0.500  0.500  0.000
Te  0.665  0.665  0.798
Te  0.677  0.677  0.351

Raw total energy ... -3.72 eV/atom

---

Material: BeTlInNi
Method: DFT, PBE-GGA
State: relaxed

Unit cell a=6.584 b=6.584 c=6.584 alpha=90.00 beta=90.00 gamma=90.00
Positions (direct):
Be  0.000  0.000  0.000
Be  0.000  0.500  0.500
Be  0.500  0.000  0.500
Be  0.500  0.500  0.000
Tl  0.250  0.250  0.750
Tl  0.250  0.750  0.250
Tl  0.750  0.250  0.250
Tl  0.750  0.750  0.750
In  0.000  0.000  0.500
In  0.000  0.500  0.000
In  0.500  0.000  0.000
In  0.500  0.500  0.500
Ni  0.250  0.250  0.250
Ni  0.250  0.750  0.750
Ni  0.750  0.250  0.750
Ni  0.750  0.750  0.250

E above lowest polymorph ... 134 meV per atom

---

Material: Hf2Mg2O5
Method: DFT, PBE-GGA
State: relaxed

Unit cell a=3.643 b=3.643 c=7.804 alpha=90.00 beta=90.00 gamma=90.00
Positions (direct):
Hf  0.000  0.000  0.000
Hf  0.000  0.000  0.500
Mg  0.500  0.500  0.240
Mg  0.500  0.500  0.760
O  0.000  0.500  0.159
O  0.000  0.500  0.841
O  0.500  0.000  0.159
O  0.500  0.000  0.841
O  0.500  0.500  0.500

E above lowest polymorph ... 312 meV per atom

---

Material: InCoAgSeS2
Method: DFT, PBE-GGA
State: relaxed

Unit cell a=7.395 b=7.395 c=9.922 alpha=90.00 beta=90.00 gamma=154.10
Positions (direct):
In  0.176  0.824  0.750
In  0.824  0.176  0.250
Co  0.500  0.500  0.000
Co  0.500  0.500  0.500
Ag  0.162  0.838  0.250
Ag  0.838  0.162  0.750
Se  0.487  0.513  0.250
Se  0.513  0.487  0.750
S  0.106  0.894  0.006
S  0.106  0.894  0.494
S  0.894  0.106  0.506
S  0.894  0.106  0.994

Raw total energy ... -4.26 eV/atom

---

Material: Cs2AgSnBr6
Method: DFT, PBE-GGA
State: relaxed

Unit cell a=7.946 b=7.946 c=7.946 alpha=59.98 beta=59.98 gamma=59.98
Positions (direct):
Cs  0.250  0.250  0.250
Cs  0.750  0.750  0.750
Ag  0.500  0.500  0.500
Sn  0.000  0.000  0.000
Br  0.249  0.750  0.251
Br  0.250  0.749  0.751
Br  0.251  0.249  0.750
Br  0.749  0.751  0.250
Br  0.750  0.251  0.249
Br  0.751  0.250  0.749

E above lowest polymorph ... 0 meV per atom

---

Material: Cd2PdPt2
Method: DFT, PBE-GGA
State: relaxed

Unit cell a=3.779 b=3.779 c=13.160 alpha=90.00 beta=90.00 gamma=90.00
Positions (direct):
Cd  0.000  0.000  0.099
Cd  0.000  0.000  0.901
Cd  0.500  0.500  0.401
Cd  0.500  0.500  0.599
Pd  0.000  0.000  0.500
Pd  0.500  0.500  0.000
Pt  0.000  0.500  0.250
Pt  0.000  0.500  0.750
Pt  0.500  0.000  0.250
Pt  0.500  0.000  0.750

E above lowest polymorph ... 0 meV per atom